The following is a DFT calculation (GGA-PBE) of crystalline Mo2Ir2Pt at its relaxed geometry. Values from VASP.

```
&SYSTEM
  ibrav = 0, nat = 10, ntyp = 3
/
ATOMIC_SPECIES
Mo 95.94 Mo.upf
Ir 192.22 Ir.upf
Pt 195.08 Pt.upf
ATOMIC_POSITIONS crystal
Mo 0.445 0.824 0.964
Mo 0.768 0.324 0.464
Mo 0.555 0.176 0.036
Mo 0.232 0.676 0.536
Ir 0.370 0.959 0.649
Ir 0.978 0.541 0.851
Ir 0.630 0.041 0.351
Ir 0.022 0.459 0.149
Pt 0.166 0.750 0.250
Pt 0.834 0.250 0.750
CELL_PARAMETERS angstrom
4.647 0.000 1.404
1.636 4.022 2.976
-0.409 2.867 9.748
```

## Properties
Volume in A^3/atom: 15.14
Energy relative to the elements in meV/atom: -254
Spin magnetization in Bohr magnetons per cell: 0.000
Polymorph energy (0 for the lowest one) in meV per atom: 0
Space-group type: C2/c, No. 15